Below is a geometry-optimized RbMnBr2F structure, with properties calculated at the PBE with a Hubbard U level.

a b c (Å): 5.6169 5.6169 4.1738
angles (deg): 90.00 90.00 90.00
Last column: magnetic moment on the atom in μB.
Fractional coordinates of all 5 atoms:
Mn 0.0000 0.0000 0.0000  4.66
Rb 0.5000 0.5000 0.5000  0.00
Br 0.5000 0.0000 0.0000  0.03
Br 0.0000 0.5000 0.0000  0.03
F 0.0000 0.0000 0.5000  0.04

M_tot = 5.00 μB per cell
energy = -22.53 eV/cell
symmetry = P4/mmm